{
  "formula": "Ba3TlI3",
  "functional": "GGA-PBE",
  "state": "optimized geometry",
  "cell": [[5.082, -8.262, 0.000], [5.082, 8.262, 0.000], [-1.454, 0.000, 8.701]],
  "species": ["Ba", "Ba", "Ba", "Ba", "Ba", "Ba", "Tl", "Tl", "I", "I", "I", "I", "I", "I"],
  "fractional_positions": [[0.133, 0.133, 0.208], [0.138, 0.445, 0.748], [0.445, 0.138, 0.748], [0.555, 0.862, 0.252], [0.862, 0.555, 0.252], [0.867, 0.867, 0.792], [0.130, 0.130, 0.589], [0.870, 0.870, 0.411], [0.191, 0.809, 0.000], [0.270, 0.730, 0.500], [0.464, 0.464, 0.212], [0.536, 0.536, 0.788], [0.730, 0.270, 0.500], [0.809, 0.191, 0.000]],
  "raw_formation_energy_ev_per_atom": -1.046,
  "m_tot_mub_per_cell": 0.000,
  "e_tot_ev_per_atom": -2.873
}